# YAl2Si | the Alexandria database | GGA-PBE | optimized geometry
data_YAl2Si
_chemical_formula_sum 'Y1 Al2 Si1'
_cell_length_a 4.6302
_cell_length_b 4.6302
_cell_length_c 5.2158
_cell_angle_alpha 71.82
_cell_angle_beta 71.82
_cell_angle_gamma 49.93
_space_group_name_H-M_alt 'P 1'
_space_group_IT_number 1
_space_group_name_Hall 'P 1'
loop_
_atom_site_label
_atom_site_type_symbol
_atom_site_fract_x
_atom_site_fract_y
_atom_site_fract_z
_atom_site_occupancy
Y1 Y 0.2453 0.2453 0.2533 1
Si1 Si 0.4845 0.4845 0.5966 1
Al1 Al 0.0154 0.0154 0.9100 1
Al2 Al 0.7548 0.7548 0.7401 1
# Calculated density in kg/m³: 3533
# ΔE_f (raw) in eV/f.u.: -1.261
# M_tot in μB per formula unit: 0.0

---

# YAl3Si | the Alexandria database | GGA-PBE | optimized geometry
data_YAl3Si
_chemical_formula_sum 'Y1 Al3 Si1'
_cell_length_a 5.4466
_cell_length_b 5.4466
_cell_length_c 5.4466
_cell_angle_alpha 90.00
_cell_angle_beta 90.00
_cell_angle_gamma 90.00
_space_group_name_H-M_alt 'P 1'
_space_group_IT_number 1
_space_group_name_Hall 'P 1'
loop_
_atom_site_label
_atom_site_type_symbol
_atom_site_fract_x
_atom_site_fract_y
_atom_site_fract_z
_atom_site_occupancy
Al1 Al 0.0000 0.5000 0.0000 1
Al2 Al 0.0000 0.0000 0.5000 1
Al3 Al 0.5000 0.0000 0.0000 1
Y1 Y 0.0000 0.0000 0.0000 1
Si1 Si 0.5000 0.5000 0.5000 1
# Calculated density in kg/m³: 2034
# ΔE_f (raw) in eV/f.u.: 7.080
# M_tot in μB per formula unit: 0.0
# E above lowest polymorph in meV per atom: 1153.5

---

# YAlSi2 | the Alexandria database | GGA-PBE | optimized geometry
data_YAlSi2
_chemical_formula_sum 'Y1 Al1 Si2'
_cell_length_a 4.7172
_cell_length_b 4.7172
_cell_length_c 5.0451
_cell_angle_alpha 72.67
_cell_angle_beta 72.67
_cell_angle_gamma 46.18
_space_group_name_H-M_alt 'P 1'
_space_group_IT_number 1
_space_group_name_Hall 'P 1'
loop_
_atom_site_label
_atom_site_type_symbol
_atom_site_fract_x
_atom_site_fract_y
_atom_site_fract_z
_atom_site_occupancy
Si1 Si 0.5167 0.5167 0.4053 1
Si2 Si 0.9833 0.9833 0.0947 1
Al1 Al 0.2500 0.2500 0.2500 1
Y1 Y 0.7500 0.7500 0.7500 1
# Calculated density in kg/m³: 3728
# ΔE_f (raw) in eV/f.u.: -1.380
# M_tot in μB per formula unit: 0.0

---

# YAl2Si | the Alexandria database | GGA-PBE | optimized geometry
data_YAl2Si
_chemical_formula_sum 'Y1 Al2 Si1'
_cell_length_a 4.5330
_cell_length_b 3.1729
_cell_length_c 5.4814
_cell_angle_alpha 89.98
_cell_angle_beta 90.00
_cell_angle_gamma 90.00
_space_group_name_H-M_alt 'P 1'
_space_group_IT_number 1
_space_group_name_Hall 'P 1'
loop_
_atom_site_label
_atom_site_type_symbol
_atom_site_fract_x
_atom_site_fract_y
_atom_site_fract_z
_atom_site_occupancy
Al1 Al 0.5000 0.2509 0.2491 1
Al2 Al 0.0000 0.2491 0.9991 1
Y1 Y 0.5000 0.7500 0.7407 1
Si1 Si 0.0000 0.2501 0.5111 1
# Calculated density in kg/m³: 3601
# ΔE_f (raw) in eV/f.u.: -0.976
# M_tot in μB per formula unit: 0.0

---

# Y2Al2Si3 | the Alexandria database | GGA-PBE | optimized geometry
data_Y2Al2Si3
_chemical_formula_sum 'Y4 Al4 Si6'
_cell_length_a 4.1157
_cell_length_b 7.8039
_cell_length_c 9.5299
_cell_angle_alpha 83.49
_cell_angle_beta 77.53
_cell_angle_gamma 74.71
_space_group_name_H-M_alt 'P 1'
_space_group_IT_number 1
_space_group_name_Hall 'P 1'
loop_
_atom_site_label
_atom_site_type_symbol
_atom_site_fract_x
_atom_site_fract_y
_atom_site_fract_z
_atom_site_occupancy
Si1 Si 0.6147 0.2344 0.5362 1
Si2 Si 0.8358 0.5112 0.8173 1
Si3 Si 0.9160 0.0481 0.1200 1
Si4 Si 0.3853 0.7656 0.4638 1
Si5 Si 0.0840 0.9519 0.8800 1
Si6 Si 0.1642 0.4888 0.1827 1
Al1 Al 0.0501 0.2132 0.6866 1
Al2 Al 0.5949 0.4722 0.3381 1
Al3 Al 0.4051 0.5278 0.6619 1
Al4 Al 0.9499 0.7868 0.3134 1
Y1 Y 0.2686 0.1265 0.3363 1
Y2 Y 0.5983 0.7470 0.0565 1
Y3 Y 0.4017 0.2530 0.9435 1
Y4 Y 0.7314 0.8735 0.6637 1
# Calculated density in kg/m³: 3647
# ΔE_f (raw) in eV/f.u.: -3.467
# M_tot in μB per formula unit: 0.0

---

# YAlSi2 | the Alexandria database | GGA-PBE | optimized geometry
data_YAlSi2
_chemical_formula_sum 'Y1 Al1 Si2'
_cell_length_a 4.7924
_cell_length_b 4.7924
_cell_length_c 4.7924
_cell_angle_alpha 60.00
_cell_angle_beta 60.00
_cell_angle_gamma 60.00
_space_group_name_H-M_alt 'P 1'
_space_group_IT_number 1
_space_group_name_Hall 'P 1'
loop_
_atom_site_label
_atom_site_type_symbol
_atom_site_fract_x
_atom_site_fract_y
_atom_site_fract_z
_atom_site_occupancy
Si1 Si 0.2500 0.2500 0.2500 1
Si2 Si 0.0000 0.0000 0.0000 1
Y1 Y 0.7500 0.7500 0.7500 1
Al1 Al 0.5000 0.5000 0.5000 1
# Calculated density in kg/m³: 3671
# ΔE_f (raw) in eV/f.u.: 0.672
# M_tot in μB per formula unit: 0.0

---

# Y2Al3Si | the Alexandria database | GGA-PBE | optimized geometry
data_Y2Al3Si
_chemical_formula_sum 'Y2 Al3 Si1'
_cell_length_a 3.8895
_cell_length_b 4.3126
_cell_length_c 7.4781
_cell_angle_alpha 90.00
_cell_angle_beta 90.00
_cell_angle_gamma 90.00
_space_group_name_H-M_alt 'P 1'
_space_group_IT_number 1
_space_group_name_Hall 'P 1'
loop_
_atom_site_label
_atom_site_type_symbol
_atom_site_fract_x
_atom_site_fract_y
_atom_site_fract_z
_atom_site_occupancy
Al1 Al 0.5000 0.0000 0.8328 1
Al2 Al 0.5000 0.0000 0.1701 1
Al3 Al 0.5000 0.5000 0.6614 1
Y1 Y 0.0000 0.5000 0.0109 1
Y2 Y 0.0000 0.0000 0.4911 1
Si1 Si 0.5000 0.5000 0.3338 1
# Calculated density in kg/m³: 3797
# ΔE_f (raw) in eV/f.u.: -3.215
# M_tot in μB per formula unit: 0.0

---

# Y4AlSi | the Alexandria database | GGA-PBE | optimized geometry
data_Y4AlSi
_chemical_formula_sum 'Y4 Al1 Si1'
_cell_length_a 6.1439
_cell_length_b 6.1439
_cell_length_c 6.1439
_cell_angle_alpha 60.00
_cell_angle_beta 60.00
_cell_angle_gamma 60.00
_space_group_name_H-M_alt 'P 1'
_space_group_IT_number 1
_space_group_name_Hall 'P 1'
loop_
_atom_site_label
_atom_site_type_symbol
_atom_site_fract_x
_atom_site_fract_y
_atom_site_fract_z
_atom_site_occupancy
Y1 Y 0.3751 0.3751 0.8748 1
Y2 Y 0.8748 0.3751 0.3751 1
Y3 Y 0.3751 0.3751 0.3751 1
Y4 Y 0.3751 0.8748 0.3751 1
Al1 Al 0.7500 0.7500 0.7500 1
Si1 Si 0.0000 0.0000 0.0000 1
# Calculated density in kg/m³: 4159
# ΔE_f (raw) in eV/f.u.: 2.852
# M_tot in μB per formula unit: 0.0

---

# YAl2Si | the Alexandria database | GGA-PBE | optimized geometry
data_YAl2Si
_chemical_formula_sum 'Y1 Al2 Si1'
_cell_length_a 4.1652
_cell_length_b 4.1652
_cell_length_c 4.3367
_cell_angle_alpha 90.00
_cell_angle_beta 90.00
_cell_angle_gamma 90.00
_space_group_name_H-M_alt 'P 1'
_space_group_IT_number 1
_space_group_name_Hall 'P 1'
loop_
_atom_site_label
_atom_site_type_symbol
_atom_site_fract_x
_atom_site_fract_y
_atom_site_fract_z
_atom_site_occupancy
Y1 Y 0.0000 0.5000 0.5000 1
Al1 Al 0.5000 0.5000 0.0000 1
Al2 Al 0.0000 0.0000 0.0000 1
Si1 Si 0.5000 0.0000 0.5000 1
# Calculated density in kg/m³: 3773
# ΔE_f (raw) in eV/f.u.: -1.468
# M_tot in μB per formula unit: 0.0

---

# YAl2Si | the Alexandria database | GGA-PBE | optimized geometry
data_YAl2Si
_chemical_formula_sum 'Y2 Al4 Si2'
_cell_length_a 7.7294
_cell_length_b 7.7294
_cell_length_c 6.1541
_cell_angle_alpha 51.10
_cell_angle_beta 51.10
_cell_angle_gamma 90.00
_space_group_name_H-M_alt 'P 1'
_space_group_IT_number 1
_space_group_name_Hall 'P 1'
loop_
_atom_site_label
_atom_site_type_symbol
_atom_site_fract_x
_atom_site_fract_y
_atom_site_fract_z
_atom_site_occupancy
Si1 Si 0.5000 0.5000 0.0000 1
Si2 Si 0.2500 0.7500 0.5000 1
Y1 Y 0.0000 0.0000 0.0000 1
Y2 Y 0.7500 0.2500 0.5000 1
Al1 Al 0.1842 0.6250 0.2500 1
Al2 Al 0.5658 0.1250 0.2500 1
Al3 Al 0.3750 0.4342 0.7500 1
Al4 Al 0.8750 0.8158 0.7500 1
# Calculated density in kg/m³: 3360
# ΔE_f (raw) in eV/f.u.: -0.832
# M_tot in μB per formula unit: 0.0

---

# YAlSi2 | the Alexandria database | GGA-PBE | optimized geometry
data_YAlSi2
_chemical_formula_sum 'Y1 Al1 Si2'
_cell_length_a 4.5823
_cell_length_b 3.1202
_cell_length_c 5.2485
_cell_angle_alpha 89.98
_cell_angle_beta 90.00
_cell_angle_gamma 90.00
_space_group_name_H-M_alt 'P 1'
_space_group_IT_number 1
_space_group_name_Hall 'P 1'
loop_
_atom_site_label
_atom_site_type_symbol
_atom_site_fract_x
_atom_site_fract_y
_atom_site_fract_z
_atom_site_occupancy
Al1 Al 0.5000 0.9993 0.7571 1
Si1 Si 0.5000 0.0000 0.2580 1
Si2 Si 0.0000 0.0009 0.9942 1
Y1 Y 0.0000 0.4998 0.4906 1
# Calculated density in kg/m³: 3807
# ΔE_f (raw) in eV/f.u.: -0.802
# M_tot in μB per formula unit: 0.0

---

# YAlSi4 | the Alexandria database | GGA-PBE | optimized geometry
data_YAlSi4
_chemical_formula_sum 'Y1 Al1 Si4'
_cell_length_a 5.2121
_cell_length_b 5.2121
_cell_length_c 5.2121
_cell_angle_alpha 60.00
_cell_angle_beta 60.00
_cell_angle_gamma 60.00
_space_group_name_H-M_alt 'P 1'
_space_group_IT_number 1
_space_group_name_Hall 'P 1'
loop_
_atom_site_label
_atom_site_type_symbol
_atom_site_fract_x
_atom_site_fract_y
_atom_site_fract_z
_atom_site_occupancy
Si1 Si 0.6269 0.6269 0.1192 1
Si2 Si 0.1192 0.6269 0.6269 1
Si3 Si 0.6269 0.6269 0.6269 1
Si4 Si 0.6269 0.1192 0.6269 1
Y1 Y 0.2500 0.2500 0.2500 1
Al1 Al 0.0000 0.0000 0.0000 1
# Calculated density in kg/m³: 3785
# ΔE_f (raw) in eV/f.u.: -0.314
# M_tot in μB per formula unit: 0.0

---

# YAl3Si | the Alexandria database | GGA-PBE | optimized geometry
data_YAl3Si
_chemical_formula_sum 'Y1 Al3 Si1'
_cell_length_a 4.8207
_cell_length_b 4.8207
_cell_length_c 4.8207
_cell_angle_alpha 90.00
_cell_angle_beta 90.00
_cell_angle_gamma 90.00
_space_group_name_H-M_alt 'P 1'
_space_group_IT_number 1
_space_group_name_Hall 'P 1'
loop_
_atom_site_label
_atom_site_type_symbol
_atom_site_fract_x
_atom_site_fract_y
_atom_site_fract_z
_atom_site_occupancy
Si1 Si 0.0000 0.0000 0.0000 1
Al1 Al 0.0000 0.0000 0.5000 1
Al2 Al 0.5000 0.0000 0.0000 1
Al3 Al 0.0000 0.5000 0.0000 1
Y1 Y 0.5000 0.5000 0.5000 1
# Calculated density in kg/m³: 2934
# ΔE_f (raw) in eV/f.u.: 1.312
# M_tot in μB per formula unit: 0.0
# E above lowest polymorph in meV per atom: 0.0

---

# YAlSi3 | the Alexandria database | GGA-PBE | optimized geometry
data_YAlSi3
_chemical_formula_sum 'Y1 Al1 Si3'
_cell_length_a 4.7541
_cell_length_b 4.7541
_cell_length_c 4.7541
_cell_angle_alpha 90.00
_cell_angle_beta 90.00
_cell_angle_gamma 90.00
_space_group_name_H-M_alt 'P 1'
_space_group_IT_number 1
_space_group_name_Hall 'P 1'
loop_
_atom_site_label
_atom_site_type_symbol
_atom_site_fract_x
_atom_site_fract_y
_atom_site_fract_z
_atom_site_occupancy
Si1 Si 0.0000 0.0000 0.5000 1
Si2 Si 0.5000 0.0000 0.0000 1
Si3 Si 0.0000 0.5000 0.0000 1
Y1 Y 0.5000 0.5000 0.5000 1
Al1 Al 0.0000 0.0000 0.0000 1
# Calculated density in kg/m³: 3093
# ΔE_f (raw) in eV/f.u.: 2.001
# M_tot in μB per formula unit: 0.0

---

# YAl2Si2 | the Alexandria database | GGA-PBE | optimized geometry
data_YAl2Si2
_chemical_formula_sum 'Y1 Al2 Si2'
_cell_length_a 4.2033
_cell_length_b 4.2033
_cell_length_c 6.5926
_cell_angle_alpha 90.00
_cell_angle_beta 90.00
_cell_angle_gamma 120.00
_space_group_name_H-M_alt 'P 1'
_space_group_IT_number 1
_space_group_name_Hall 'P 1'
loop_
_atom_site_label
_atom_site_type_symbol
_atom_site_fract_x
_atom_site_fract_y
_atom_site_fract_z
_atom_site_occupancy
Si1 Si 0.6667 0.3333 0.7403 1
Si2 Si 0.3333 0.6667 0.2597 1
Y1 Y 0.0000 0.0000 0.0000 1
Al1 Al 0.6667 0.3333 0.3554 1
Al2 Al 0.3333 0.6667 0.6446 1
# Calculated density in kg/m³: 3277
# ΔE_f (raw) in eV/f.u.: -1.881
# M_tot in μB per formula unit: 0.0

---

# YAl2Si | the Alexandria database | GGA-PBE | optimized geometry
data_YAl2Si
_chemical_formula_sum 'Y1 Al2 Si1'
_cell_length_a 9.3048
_cell_length_b 9.3048
_cell_length_c 9.3048
_cell_angle_alpha 19.86
_cell_angle_beta 19.86
_cell_angle_gamma 19.86
_space_group_name_H-M_alt 'P 1'
_space_group_IT_number 1
_space_group_name_Hall 'P 1'
loop_
_atom_site_label
_atom_site_type_symbol
_atom_site_fract_x
_atom_site_fract_y
_atom_site_fract_z
_atom_site_occupancy
Y1 Y 0.7500 0.7500 0.7500 1
Al1 Al 0.9879 0.9879 0.9879 1
Al2 Al 0.5121 0.5121 0.5121 1
Si1 Si 0.2500 0.2500 0.2500 1
# Calculated density in kg/m³: 3490
# ΔE_f (raw) in eV/f.u.: 0.384
# M_tot in μB per formula unit: 0.0

---

# YAl2Si | the Alexandria database | GGA-PBE | optimized geometry
data_YAl2Si
_chemical_formula_sum 'Y1 Al2 Si1'
_cell_length_a 4.7067
_cell_length_b 3.1365
_cell_length_c 5.3272
_cell_angle_alpha 89.96
_cell_angle_beta 90.00
_cell_angle_gamma 90.00
_space_group_name_H-M_alt 'P 1'
_space_group_IT_number 1
_space_group_name_Hall 'P 1'
loop_
_atom_site_label
_atom_site_type_symbol
_atom_site_fract_x
_atom_site_fract_y
_atom_site_fract_z
_atom_site_occupancy
Si1 Si 0.5000 0.2500 0.2500 1
Al1 Al 0.0000 0.2494 0.0020 1
Al2 Al 0.0000 0.2506 0.4980 1
Y1 Y 0.5000 0.7500 0.7500 1
# Calculated density in kg/m³: 3610
# ΔE_f (raw) in eV/f.u.: -0.846
# M_tot in μB per formula unit: 0.0

---

# YAlSi2 | the Alexandria database | GGA-PBE | optimized geometry
data_YAlSi2
_chemical_formula_sum 'Y1 Al1 Si2'
_cell_length_a 4.2542
_cell_length_b 4.3085
_cell_length_c 3.9934
_cell_angle_alpha 90.00
_cell_angle_beta 90.00
_cell_angle_gamma 90.00
_space_group_name_H-M_alt 'P 1'
_space_group_IT_number 1
_space_group_name_Hall 'P 1'
loop_
_atom_site_label
_atom_site_type_symbol
_atom_site_fract_x
_atom_site_fract_y
_atom_site_fract_z
_atom_site_occupancy
Si1 Si 0.0000 0.0000 0.0000 1
Si2 Si 0.5000 0.5000 0.0000 1
Y1 Y 0.5000 0.0000 0.5000 1
Al1 Al 0.0000 0.5000 0.5000 1
# Calculated density in kg/m³: 3903
# ΔE_f (raw) in eV/f.u.: -1.159
# M_tot in μB per formula unit: 0.0

---

# Y3Al3Si | the Alexandria database | GGA-PBE | optimized geometry
data_Y3Al3Si
_chemical_formula_sum 'Y3 Al3 Si1'
_cell_length_a 4.1782
_cell_length_b 4.1994
_cell_length_c 9.7072
_cell_angle_alpha 102.49
_cell_angle_beta 102.43
_cell_angle_gamma 90.00
_space_group_name_H-M_alt 'P 1'
_space_group_IT_number 1
_space_group_name_Hall 'P 1'
loop_
_atom_site_label
_atom_site_type_symbol
_atom_site_fract_x
_atom_site_fract_y
_atom_site_fract_z
_atom_site_occupancy
Y1 Y 0.3167 0.8167 0.6333 1
Y2 Y 0.9963 0.9963 0.9927 1
Y3 Y 0.6876 0.1876 0.3752 1
Al1 Al 0.1434 0.6434 0.2868 1
Al2 Al 0.8578 0.3578 0.7156 1
Al3 Al 0.5647 0.5647 0.1293 1
Si1 Si 0.4336 0.4336 0.8671 1
# Calculated density in kg/m³: 3847
# ΔE_f (raw) in eV/f.u.: -3.737
# M_tot in μB per formula unit: 0.2

---

# YAl2Si | the Alexandria database | GGA-PBE | optimized geometry
data_YAl2Si
_chemical_formula_sum 'Y1 Al2 Si1'
_cell_length_a 4.8212
_cell_length_b 4.8212
_cell_length_c 4.8212
_cell_angle_alpha 60.00
_cell_angle_beta 60.00
_cell_angle_gamma 60.00
_space_group_name_H-M_alt 'P 1'
_space_group_IT_number 1
_space_group_name_Hall 'P 1'
loop_
_atom_site_label
_atom_site_type_symbol
_atom_site_fract_x
_atom_site_fract_y
_atom_site_fract_z
_atom_site_occupancy
Y1 Y 0.7500 0.7500 0.7500 1
Al1 Al 0.0000 0.0000 0.0000 1
Al2 Al 0.2500 0.2500 0.2500 1
Si1 Si 0.5000 0.5000 0.5000 1
# Calculated density in kg/m³: 3582
# ΔE_f (raw) in eV/f.u.: -0.107
# M_tot in μB per formula unit: 0.0